Below is LiVCuO4 after structural relaxation, with properties calculated at the PBE+U level.

Fermi-level density of states (states/eV/f.u.): 3.28
Crystal system: tetragonal
Symmetry: P4_322, No. 95
Calculated volume (Å³/cell): 288
Energy relative to the lowest polymorph listed for this composition (eV per atom): 0.048
E_tot (eV/atom): -6.262

Geometry as POSCAR:
```
LiVCuO4
1.0
6.060 0.000 0.000
0.000 6.060 0.000
0.000 0.000 7.843
Li V Cu O
4 4 4 16
direct
0.000 0.237 0.000
0.000 0.763 0.500
0.237 0.000 0.250
0.763 0.000 0.750
0.218 0.500 0.250
0.500 0.218 0.000
0.500 0.782 0.500
0.782 0.500 0.750
0.260 0.260 0.625
0.260 0.740 0.875
0.740 0.260 0.375
0.740 0.740 0.125
0.032 0.274 0.266
0.032 0.726 0.234
0.269 0.473 0.012
0.269 0.527 0.488
0.274 0.032 0.984
0.274 0.968 0.516
0.473 0.269 0.238
0.473 0.731 0.262
0.527 0.269 0.762
0.527 0.731 0.738
0.726 0.032 0.016
0.726 0.968 0.484
0.731 0.473 0.988
0.731 0.527 0.512
0.968 0.274 0.734
0.968 0.726 0.766
```

Below is Li2V3CuO8 after structural relaxation, with properties calculated at the PBE+U level.

Fermi-level density of states (states/eV/f.u.): 6.90
Crystal system: trigonal
Symmetry: R3m, No. 160
Calculated volume (Å³/cell): 146
Energy relative to the lowest polymorph listed for this composition (eV per atom): 0.030
E_tot (eV/atom): -6.804

Geometry as POSCAR:
```
Li2V3CuO8
1.0
2.956 1.707 4.836
-2.956 1.707 4.836
0.000 -3.414 4.836
Li V Cu O
2 3 1 8
direct
0.000 0.000 0.000
0.380 0.380 0.380
0.378 0.378 0.885
0.378 0.885 0.378
0.885 0.378 0.378
0.759 0.759 0.759
0.129 0.129 0.590
0.129 0.590 0.129
0.139 0.139 0.139
0.169 0.629 0.629
0.590 0.129 0.129
0.622 0.622 0.622
0.629 0.169 0.629
0.629 0.629 0.169
```

Below is Li2V5CuO12 after structural relaxation, with properties calculated at the PBE+U level.

Crystal system: monoclinic
Symmetry: C2, No. 5
Calculated volume (Å³/cell): 244
E_tot (eV/atom): -7.083

Geometry as POSCAR:
```
Li2V5CuO12
1.0
5.454 -4.266 0.000
5.454 4.266 0.000
-2.171 0.000 5.245
Li V Cu O
2 5 1 12
direct
0.000 0.000 0.000
0.556 0.444 0.500
0.104 0.337 0.516
0.361 0.639 0.000
0.450 0.098 0.957
0.663 0.896 0.484
0.902 0.550 0.043
0.176 0.824 0.500
0.085 0.716 0.082
0.259 0.110 0.579
0.270 0.515 0.610
0.284 0.915 0.918
0.400 0.366 0.061
0.485 0.730 0.390
0.598 0.083 0.312
0.634 0.600 0.939
0.693 0.004 0.819
0.890 0.741 0.421
0.917 0.402 0.688
0.996 0.307 0.181
```

Below is Li2V3CuO8 after structural relaxation, with properties calculated at the PBE+U level.

Fermi-level density of states (states/eV/f.u.): 0.64
Crystal system: tetragonal
Symmetry: P4_32_12, No. 96
Calculated volume (Å³/cell): 599
Energy relative to the lowest polymorph listed for this composition (eV per atom): 0.024
E_tot (eV/atom): -6.810

Geometry as POSCAR:
```
Li2V3CuO8
1.0
8.637 0.000 0.000
0.000 8.637 0.000
0.000 0.000 8.031
Li V Cu O
8 12 4 32
direct
0.004 0.249 0.374
0.249 0.004 0.626
0.251 0.504 0.124
0.496 0.749 0.376
0.504 0.251 0.876
0.749 0.496 0.624
0.751 0.996 0.126
0.996 0.751 0.874
0.123 0.370 0.757
0.127 0.873 0.250
0.130 0.623 0.507
0.370 0.123 0.243
0.373 0.373 0.500
0.377 0.870 0.993
0.623 0.130 0.493
0.627 0.627 0.000
0.630 0.877 0.743
0.870 0.377 0.007
0.873 0.127 0.750
0.877 0.630 0.257
0.120 0.120 0.000
0.380 0.620 0.750
0.620 0.380 0.250
0.880 0.880 0.500
0.104 0.141 0.753
0.110 0.377 0.983
0.111 0.636 0.263
0.123 0.610 0.733
0.130 0.855 0.484
0.136 0.389 0.513
0.141 0.104 0.247
0.145 0.870 0.016
0.355 0.370 0.734
0.359 0.604 0.503
0.364 0.889 0.237
0.370 0.355 0.266
0.377 0.110 0.017
0.389 0.136 0.487
0.390 0.877 0.767
0.396 0.641 0.997
0.604 0.359 0.497
0.610 0.123 0.267
0.611 0.864 0.987
0.623 0.890 0.517
0.630 0.645 0.766
0.636 0.111 0.737
0.641 0.396 0.003
0.645 0.630 0.234
0.855 0.130 0.516
0.859 0.896 0.747
0.864 0.611 0.013
0.870 0.145 0.984
0.877 0.390 0.233
0.889 0.364 0.763
0.890 0.623 0.483
0.896 0.859 0.253
```

Below is LiV4CuO12 after structural relaxation, with properties calculated at the PBE+U level.

Crystal system: triclinic
Symmetry: P1, No. 1
Calculated volume (Å³/cell): 197
Energy relative to the lowest polymorph listed for this composition (eV per atom): 0.042
E_tot (eV/atom): -6.869

Geometry as POSCAR:
```
LiV4CuO12
1.0
5.006 0.000 0.000
0.087 5.377 0.000
0.057 0.663 7.325
Li V Cu O
1 4 1 12
direct
0.000 0.000 0.000
0.008 0.571 0.278
0.492 0.052 0.795
0.507 0.047 0.283
0.991 0.553 0.781
0.505 0.467 0.495
0.101 0.597 0.056
0.204 0.900 0.763
0.217 0.309 0.365
0.312 0.415 0.734
0.325 0.780 0.371
0.386 0.096 0.061
0.606 0.116 0.556
0.704 0.405 0.264
0.713 0.811 0.855
0.817 0.908 0.246
0.819 0.299 0.866
0.860 0.598 0.558
```

Below is Li2VCuO4 after structural relaxation, with properties calculated at the PBE+U level.

Crystal system: orthorhombic
Symmetry: Pmn2_1, No. 31
Calculated volume (Å³/cell): 181
E_tot (eV/atom): -6.162

Geometry as POSCAR:
```
Li2VCuO4
1.0
6.370 0.000 0.000
0.000 5.511 0.000
0.000 0.000 5.161
Li V Cu O
4 2 2 8
direct
0.249 0.166 0.000
0.251 0.834 0.500
0.749 0.834 0.500
0.751 0.166 0.000
0.000 0.668 0.004
0.500 0.332 0.504
0.000 0.324 0.505
0.500 0.676 0.005
0.000 0.363 0.896
0.000 0.681 0.343
0.226 0.820 0.889
0.274 0.180 0.389
0.500 0.319 0.843
0.500 0.637 0.396
0.726 0.180 0.389
0.774 0.820 0.889
```

Below is Li2V3CuO8 after structural relaxation, with properties calculated at the PBE+U level.

Fermi-level density of states (states/eV/f.u.): 2.89
Crystal system: trigonal
Symmetry: R-3m, No. 166
Calculated volume (Å³/cell): 148
Energy relative to the lowest polymorph listed for this composition (eV per atom): 0.037
E_tot (eV/atom): -6.797

Geometry as POSCAR:
```
Li2V3CuO8
1.0
2.961 1.710 4.877
-2.961 1.710 4.877
0.000 -3.420 4.877
Li V Cu O
2 3 1 8
direct
0.123 0.123 0.123
0.877 0.877 0.877
0.000 0.500 0.500
0.500 0.000 0.500
0.500 0.500 0.000
0.500 0.500 0.500
0.251 0.251 0.713
0.251 0.713 0.251
0.260 0.260 0.260
0.287 0.749 0.749
0.713 0.251 0.251
0.740 0.740 0.740
0.749 0.287 0.749
0.749 0.749 0.287
```

Below is LiVCuO4 after structural relaxation, with properties calculated at the PBE+U level.

Fermi-level density of states (states/eV/f.u.): 1.43
Crystal system: orthorhombic
Symmetry: Imma, No. 74
Calculated volume (Å³/cell): 151
Energy relative to the lowest polymorph listed for this composition (eV per atom): 0.064
E_tot (eV/atom): -6.246

Geometry as POSCAR:
```
LiVCuO4
1.0
-2.818 2.847 4.694
2.818 -2.847 4.694
2.818 2.847 -4.694
Li V Cu O
2 2 2 8
direct
0.401 0.151 0.250
0.599 0.849 0.750
0.000 0.500 0.500
0.500 0.500 0.000
0.000 0.000 0.500
0.000 0.500 0.000
0.183 0.711 0.472
0.261 0.289 0.972
0.264 0.291 0.527
0.264 0.738 0.973
0.736 0.262 0.027
0.736 0.709 0.473
0.739 0.711 0.028
0.817 0.289 0.528
```

Below is LiVCuO4 after structural relaxation, with properties calculated at the PBE+U level.

Fermi-level density of states (states/eV/f.u.): 0.13
Crystal system: orthorhombic
Symmetry: Imma, No. 74
Calculated volume (Å³/cell): 150
Energy relative to the lowest polymorph listed for this composition (eV per atom): 0.000
E_tot (eV/atom): -6.310

Geometry as POSCAR:
```
LiVCuO4
1.0
-2.857 2.906 4.506
2.857 -2.906 4.506
2.857 2.906 -4.506
Li V Cu O
2 2 2 8
direct
0.500 0.000 0.000
0.500 0.500 0.500
0.135 0.385 0.750
0.865 0.615 0.250
0.000 0.000 0.000
0.500 0.000 0.500
0.212 0.724 0.488
0.250 0.235 0.485
0.250 0.765 0.015
0.264 0.276 0.988
0.736 0.724 0.012
0.750 0.235 0.985
0.750 0.765 0.515
0.788 0.276 0.512
```

Below is LiVCuO4 after structural relaxation, with properties calculated at the PBE+U level.

Fermi-level density of states (states/eV/f.u.): 0.53
Crystal system: orthorhombic
Symmetry: Imma, No. 74
Calculated volume (Å³/cell): 227
Energy relative to the lowest polymorph listed for this composition (eV per atom): 0.175
E_tot (eV/atom): -6.135

Geometry as POSCAR:
```
LiVCuO4
1.0
-2.801 2.861 7.067
2.801 -2.861 7.067
2.801 2.861 -7.067
Li V Cu O
2 2 2 8
direct
0.500 0.000 0.000
0.500 0.500 0.500
0.345 0.095 0.250
0.655 0.905 0.750
0.000 0.500 0.500
0.500 0.500 0.000
0.203 0.174 0.030
0.276 0.301 0.525
0.276 0.751 0.975
0.356 0.826 0.530
0.644 0.174 0.470
0.724 0.249 0.025
0.724 0.699 0.475
0.797 0.826 0.970
```

Below is Li2V3CuO8 after structural relaxation, with properties calculated at the PBE+U level.

Crystal system: orthorhombic
Symmetry: P2_12_12_1, No. 19
Calculated volume (Å³/cell): 591
Energy relative to the lowest polymorph listed for this composition (eV per atom): 0.000
E_tot (eV/atom): -6.834

Geometry as POSCAR:
```
Li2V3CuO8
1.0
8.331 0.000 0.000
0.000 8.350 0.000
0.000 0.000 8.496
Li V Cu O
8 12 4 32
direct
0.124 0.126 0.125
0.249 0.749 0.246
0.251 0.251 0.746
0.376 0.874 0.625
0.624 0.374 0.875
0.749 0.751 0.754
0.751 0.249 0.254
0.876 0.626 0.375
0.125 0.386 0.382
0.131 0.625 0.631
0.135 0.886 0.878
0.365 0.114 0.378
0.369 0.375 0.131
0.375 0.614 0.882
0.625 0.114 0.618
0.631 0.875 0.369
0.635 0.614 0.122
0.865 0.386 0.622
0.869 0.125 0.869
0.875 0.886 0.118
0.004 0.993 0.499
0.496 0.007 0.999
0.504 0.507 0.501
0.996 0.493 0.001
0.106 0.870 0.098
0.109 0.102 0.872
0.110 0.384 0.614
0.120 0.857 0.653
0.129 0.605 0.396
0.133 0.640 0.865
0.145 0.378 0.147
0.148 0.139 0.379
0.352 0.861 0.879
0.355 0.622 0.647
0.367 0.360 0.365
0.371 0.395 0.896
0.380 0.143 0.153
0.390 0.616 0.114
0.391 0.898 0.372
0.394 0.130 0.598
0.606 0.630 0.902
0.609 0.398 0.128
0.610 0.116 0.386
0.620 0.643 0.347
0.629 0.895 0.604
0.633 0.860 0.135
0.645 0.122 0.853
0.648 0.361 0.621
0.852 0.639 0.121
0.855 0.878 0.353
0.867 0.140 0.635
0.871 0.105 0.104
0.880 0.357 0.847
0.890 0.884 0.886
0.891 0.602 0.628
0.894 0.370 0.402
```

Below is Li4V5Cu3O16 after structural relaxation, with properties calculated at the PBE+U level.

Fermi-level density of states (states/eV/f.u.): 4.75
Crystal system: monoclinic
Symmetry: Cm, No. 8
Calculated volume (Å³/cell): 294
E_tot (eV/atom): -6.528

Geometry as POSCAR:
```
Li4V5Cu3O16
1.0
5.130 -2.952 0.000
5.130 2.952 0.000
-0.409 0.000 9.698
Li V Cu O
4 5 3 16
direct
0.000 0.000 0.000
0.003 0.003 0.493
0.346 0.346 0.923
0.647 0.647 0.418
0.176 0.176 0.254
0.351 0.351 0.508
0.361 0.859 0.735
0.663 0.663 0.012
0.859 0.361 0.735
0.167 0.652 0.212
0.652 0.167 0.212
0.837 0.837 0.713
0.001 0.001 0.295
0.008 0.008 0.807
0.013 0.445 0.366
0.176 0.176 0.613
0.192 0.658 0.595
0.309 0.309 0.126
0.359 0.830 0.095
0.445 0.013 0.366
0.458 0.458 0.363
0.502 0.979 0.858
0.530 0.530 0.848
0.658 0.192 0.595
0.662 0.662 0.617
0.827 0.827 0.087
0.830 0.359 0.095
0.979 0.502 0.858
```

Below is LiVCuO4 after structural relaxation, with properties calculated at the PBE+U level.

Fermi-level density of states (states/eV/f.u.): 2.93
Crystal system: orthorhombic
Symmetry: Cmcm, No. 63
Calculated volume (Å³/cell): 156
Energy relative to the lowest polymorph listed for this composition (eV per atom): 0.027
E_tot (eV/atom): -6.283

Geometry as POSCAR:
```
LiVCuO4
1.0
2.900 -4.190 0.000
2.900 4.190 0.000
0.000 0.000 6.402
Li V Cu O
2 2 2 8
direct
0.169 0.831 0.750
0.831 0.169 0.250
0.152 0.848 0.250
0.848 0.152 0.750
0.500 0.500 0.000
0.500 0.500 0.500
0.219 0.260 0.750
0.260 0.219 0.250
0.269 0.731 0.027
0.269 0.731 0.473
0.731 0.269 0.527
0.731 0.269 0.973
0.740 0.781 0.750
0.781 0.740 0.250
```

Below is LiVCuO4 after structural relaxation, with properties calculated at the PBE+U level.

Fermi-level density of states (states/eV/f.u.): 0.75
Crystal system: orthorhombic
Symmetry: Imma, No. 74
Calculated volume (Å³/cell): 151
Energy relative to the lowest polymorph listed for this composition (eV per atom): 0.015
E_tot (eV/atom): -6.295

Geometry as POSCAR:
```
LiVCuO4
1.0
-2.884 3.091 4.232
2.884 -3.091 4.232
2.884 3.091 -4.232
Li V Cu O
2 2 2 8
direct
0.000 0.000 0.000
0.500 0.000 0.500
0.452 0.702 0.750
0.548 0.298 0.250
0.000 0.000 0.500
0.000 0.500 0.000
0.188 0.232 0.956
0.224 0.768 0.456
0.336 0.340 0.504
0.336 0.832 0.996
0.664 0.168 0.004
0.664 0.660 0.496
0.776 0.232 0.544
0.812 0.768 0.044
```